Entry 1:
Cu2GeBS4 | GGA-PBE | optimized geometry

Values from the calculation:
raw formation energy: -232 meV/atom
symmetry: P1

```
Cu2GeBS4
1.0
5.207 0.000 0.000
-0.001 5.207 0.000
-2.598 -2.595 5.159
Cu Ge B S
2 1 1 4
Direct
0.000 0.000 0.000
0.250 0.749 0.500
0.501 0.501 0.000
0.750 0.250 0.500
0.059 0.590 0.713
0.410 0.346 0.287
0.653 0.121 0.713
0.879 0.942 0.288
```

---

Entry 2:
TiNb8Mo2 | GGA-PBE | optimized geometry

Values from the calculation:
formation energy: 0.383 eV per atom
symmetry: C2/m

```
TiNb8Mo2
1.0
3.750 -6.290 0.000
3.750 6.290 0.000
-2.214 0.000 4.352
Ti Nb Mo
1 8 2
Direct
0.000 0.000 0.000
0.082 0.320 0.594
0.221 0.779 0.000
0.320 0.082 0.594
0.380 0.380 0.155
0.620 0.620 0.845
0.680 0.918 0.406
0.779 0.221 0.000
0.918 0.680 0.406
0.322 0.678 0.500
0.678 0.322 0.500
```

---

Entry 3:
AlPd2 | GGA-PBE | optimized geometry

Values from the calculation:
formation energy: -0.819 eV per atom
symmetry: Pnma

```
AlPd2
1.0
5.491 0.000 0.000
0.000 4.105 0.000
0.000 0.000 7.853
Al Pd
4 8
Direct
0.198 0.250 0.106
0.302 0.750 0.606
0.698 0.250 0.394
0.802 0.750 0.894
0.041 0.250 0.789
0.167 0.250 0.433
0.333 0.750 0.933
0.459 0.750 0.289
0.541 0.250 0.711
0.667 0.250 0.067
0.833 0.750 0.567
0.959 0.750 0.211
```

---

Entry 4:
Tm4SnIr | GGA-PBE | optimized geometry

Values from the calculation:
formation energy: -0.493 eV per atom
symmetry: P2_1/c

```
Tm4SnIr
1.0
7.470 0.000 0.000
0.000 6.895 0.000
-0.127 0.000 6.816
Tm Sn Ir
8 2 2
Direct
0.140 0.162 0.171
0.140 0.338 0.671
0.306 0.649 0.137
0.306 0.851 0.637
0.694 0.149 0.363
0.694 0.351 0.863
0.860 0.662 0.329
0.860 0.838 0.829
0.500 0.000 0.000
0.500 0.500 0.500
0.000 0.000 0.500
0.000 0.500 0.000
```

---

Entry 5:
Ni2SbBr | GGA-PBE | optimized geometry

Values from the calculation:
raw formation energy: 46 meV/atom
symmetry: P4mm

```
Ni2SbBr
1.0
3.316 0.000 0.000
0.000 3.316 0.000
0.000 0.000 7.206
Ni Sb Br
2 1 1
Direct
0.000 0.000 0.000
0.500 0.500 0.168
0.000 0.000 0.355
0.500 0.500 0.833
```

---

Entry 6:
HgIrPt | GGA-PBE | optimized geometry

Values from the calculation:
formation energy: 0.306 eV per atom
symmetry: I4mm

```
HgIrPt
1.0
-1.440 1.440 6.139
1.440 -1.440 6.139
1.440 1.440 -6.139
Hg Ir Pt
1 1 1
Direct
0.000 0.000 0.000
0.326 0.326 0.000
0.678 0.678 0.000
```

---

Entry 7:
PrNdC2 | GGA-PBE | optimized geometry

Values from the calculation:
formation energy: 0.344 eV per atom
symmetry: R-3m

```
PrNdC2
1.0
1.895 1.094 6.181
-1.895 1.094 6.181
0.000 -2.188 6.181
Pr Nd C
1 1 2
Direct
0.000 0.000 0.000
0.500 0.500 0.500
0.249 0.249 0.249
0.751 0.751 0.751
```

---

Entry 8:
LaAlCo4 | GGA-PBE | optimized geometry

Values from the calculation:
formation energy: -0.173 eV per atom
symmetry: P-6m2

```
LaAlCo4
1.0
5.210 0.000 0.000
-2.605 4.512 0.000
0.000 0.000 3.852
La Al Co
1 1 4
Direct
0.000 0.000 0.000
0.333 0.667 0.000
0.504 0.008 0.500
0.504 0.496 0.500
0.667 0.333 0.000
0.992 0.496 0.500
```

---

Number 1: DOS at the Fermi energy 0.590 states/eV per atom. Number 2: DOS at the Fermi energy 1.216 states/eV per atom. Number 3: DOS at the Fermi energy 0.457 states/eV per atom. Number 4: DOS at the Fermi energy 0.645 states/eV per atom. Number 5: DOS at the Fermi energy 0.858 states/eV per atom. Number 6: DOS at the Fermi energy 1.336 states/eV per atom. Number 7: DOS at the Fermi energy 1.784 states/eV per atom. Number 8: DOS at the Fermi energy 1.209 states/eV per atom.